Entry 1:
{"formula": "Ac2MgIrO6", "functional": "PBE", "state": "optimized geometry", "e_form_raw_ev_per_atom": -2.4714, "spacegroup": "No. 225", "e_tot_ev_per_fu": -73.14, "lattice": [[-4.410, -1.284, -3.358], [-2.753, -2.212, 4.461], [-3.269, 7.187, 1.546]], "species": ["Ac", "Ac", "Ac", "Ac", "Mg", "Mg", "Ir", "Ir", "O", "O", "O", "O", "O", "O", "O", "O", "O", "O", "O", "O"], "frac_coords": [[0.500, 0.750, 0.250], [0.000, 0.250, 0.750], [0.500, 0.750, 0.750], [0.000, 0.250, 0.250], [0.000, 0.750, 0.500], [0.500, 0.250, 0.000], [0.500, 0.250, 0.500], [0.000, 0.750, 0.000], [0.500, 0.250, 0.251], [0.500, 0.250, 0.749], [0.000, 0.750, 0.249], [0.000, 0.750, 0.751], [0.251, 0.001, 0.500], [0.749, 0.001, 0.500], [0.251, 0.499, 0.500], [0.749, 0.499, 0.500], [0.751, 0.501, 0.000], [0.249, 0.501, 0.000], [0.249, 0.999, 0.000], [0.751, 0.999, 0.000]]}



Entry 2:
{"formula": "Ac2MgIr3O12", "functional": "PBE", "state": "optimized geometry", "e_form_raw_ev_per_atom": -1.5471, "spacegroup": "No. 166", "e_tot_ev_per_fu": -123.74, "lattice": [[-0.526, 5.209, -4.223], [1.743, -1.260, -6.373], [-5.096, -0.332, -4.378]], "species": ["Ac", "Ac", "Mg", "Ir", "Ir", "Ir", "O", "O", "O", "O", "O", "O", "O", "O", "O", "O", "O", "O"], "frac_coords": [[0.617, 0.617, 0.617], [0.383, 0.383, 0.383], [0.000, 0.000, 0.000], [0.500, 0.000, 0.000], [0.000, 0.500, 0.000], [0.000, 0.000, 0.500], [0.303, 0.303, 0.867], [0.868, 0.868, 0.400], [0.400, 0.868, 0.868], [0.867, 0.303, 0.303], [0.868, 0.400, 0.868], [0.303, 0.867, 0.303], [0.697, 0.697, 0.133], [0.132, 0.132, 0.600], [0.600, 0.132, 0.132], [0.133, 0.697, 0.697], [0.132, 0.600, 0.132], [0.697, 0.133, 0.697]]}



Entry 3:
{"formula": "Ac2MgP3Ir4", "functional": "PBE", "state": "optimized geometry", "spacegroup": "No. 115", "e_form_ev_per_atom": -0.8043, "e_tot_ev_per_fu": -69.53, "lattice": [[4.171, 0.000, 0.000], [0.000, 4.171, 0.000], [0.000, 0.000, 10.631]], "species": ["Ac", "Ac", "Mg", "P", "P", "P", "Ir", "Ir", "Ir", "Ir"], "frac_coords": [[0.500, 0.000, 0.249], [0.000, 0.500, 0.751], [0.500, 0.500, 0.500], [0.000, 0.000, 0.500], [0.500, 0.000, 0.872], [0.000, 0.500, 0.128], [0.500, 0.500, 0.000], [0.000, 0.000, 0.000], [0.500, 0.000, 0.648], [0.000, 0.500, 0.352]]}



Entry 4:
{"formula": "Ac2MgIrPb", "functional": "PBE", "state": "optimized geometry", "spacegroup": "No. 11", "e_form_ev_per_atom": -0.5462, "e_tot_ev_per_fu": -25.11, "lattice": [[4.620, 0.000, 0.000], [0.000, 8.312, 0.388], [0.000, -3.166, 7.762]], "species": ["Ac", "Ac", "Ac", "Ac", "Mg", "Mg", "Ir", "Ir", "Pb", "Pb"], "frac_coords": [[0.750, 0.900, 0.673], [0.750, 0.721, 0.032], [0.250, 0.100, 0.327], [0.250, 0.279, 0.968], [0.250, 0.566, 0.664], [0.750, 0.434, 0.336], [0.250, 0.883, 0.903], [0.750, 0.117, 0.097], [0.250, 0.671, 0.337], [0.750, 0.329, 0.663]]}



Entry 5:
{"formula": "AcMgIrPd", "functional": "PBE", "state": "optimized geometry", "spacegroup": "No. 216", "e_form_ev_per_atom": -0.4350, "e_tot_ev_per_fu": -21.50, "lattice": [[4.972, 0.000, 0.000], [2.486, 4.306, 0.000], [2.486, 1.435, 4.059]], "species": ["Ac", "Ir", "Mg", "Pd"], "frac_coords": [[0.250, 0.250, 0.250], [0.500, 0.500, 0.500], [0.750, 0.750, 0.750], [0.000, 0.000, 0.000]]}



Entry 6:
{"formula": "AcPmMgIr", "functional": "PBE", "state": "optimized geometry", "spacegroup": "No. 216", "e_form_ev_per_atom": -0.2314, "e_tot_ev_per_fu": -20.24, "lattice": [[-2.367, 0.487, -4.737], [-2.800, -4.053, -2.003], [-5.299, 0.322, -0.304]], "species": ["Ac", "Ir", "Mg", "Pm"], "frac_coords": [[0.750, 0.750, 0.750], [0.000, 0.000, 0.000], [0.500, 0.500, 0.500], [0.250, 0.250, 0.250]]}



Entry 7:
{"formula": "AcPrMgIr", "functional": "PBE", "state": "optimized geometry", "spacegroup": "No. 216", "e_form_ev_per_atom": -0.2149, "e_tot_ev_per_fu": -20.20, "lattice": [[5.351, 0.000, 0.000], [2.676, 4.634, 0.000], [2.676, 1.545, 4.369]], "species": ["Pr", "Ac", "Ir", "Mg"], "frac_coords": [[0.250, 0.250, 0.250], [0.750, 0.750, 0.750], [0.000, 0.000, 0.000], [0.500, 0.500, 0.500]]}



Entry 8:
{"formula": "AcPuMgIr", "functional": "PBE", "state": "optimized geometry", "spacegroup": "No. 216", "e_form_ev_per_atom": -0.0820, "e_tot_ev_per_fu": -29.22, "lattice": [[5.239, 0.000, 0.000], [2.620, 4.537, 0.000], [2.620, 1.512, 4.278]], "species": ["Ac", "Ir", "Mg", "Pu"], "frac_coords": [[0.250, 0.250, 0.250], [0.000, 0.000, 0.000], [0.500, 0.500, 0.500], [0.750, 0.750, 0.750]]}



Entry 9:
{"formula": "AcMgIrRh", "functional": "PBE", "state": "optimized geometry", "spacegroup": "No. 216", "e_form_ev_per_atom": -0.3139, "e_tot_ev_per_fu": -23.17, "lattice": [[4.889, 0.000, 0.000], [2.445, 4.234, 0.000], [2.445, 1.411, 3.992]], "species": ["Ac", "Ir", "Rh", "Mg"], "frac_coords": [[0.750, 0.750, 0.750], [0.000, 0.000, 0.000], [0.500, 0.500, 0.500], [0.250, 0.250, 0.250]]}



Entry 10:
{"formula": "Ac2MgSb4Ir3", "functional": "PBE", "state": "optimized geometry", "e_form_raw_ev_per_atom": -0.6594, "spacegroup": "No. 115", "e_tot_ev_per_fu": -59.48, "lattice": [[4.638, 0.000, 0.000], [0.000, 4.638, 0.000], [0.000, 0.000, 11.070]], "species": ["Ac", "Ac", "Mg", "Sb", "Sb", "Sb", "Sb", "Ir", "Ir", "Ir"], "frac_coords": [[0.500, 0.000, 0.244], [0.000, 0.500, 0.756], [0.500, 0.500, 0.500], [0.500, 0.500, 0.000], [0.000, 0.000, 0.000], [0.500, 0.000, 0.641], [0.000, 0.500, 0.359], [0.000, 0.000, 0.500], [0.500, 0.000, 0.882], [0.000, 0.500, 0.118]]}



Entry 11:
{"formula": "Ac2MgSb3Ir4", "functional": "PBE", "state": "optimized geometry", "e_form_raw_ev_per_atom": -0.6362, "spacegroup": "No. 115", "e_tot_ev_per_fu": -63.98, "lattice": [[4.467, 0.000, 0.000], [0.000, 4.467, 0.000], [0.000, 0.000, 11.223]], "species": ["Ac", "Ac", "Mg", "Sb", "Sb", "Sb", "Ir", "Ir", "Ir", "Ir"], "frac_coords": [[0.500, 0.000, 0.254], [0.000, 0.500, 0.746], [0.500, 0.500, 0.500], [0.000, 0.000, 0.500], [0.500, 0.000, 0.868], [0.000, 0.500, 0.132], [0.500, 0.500, 0.000], [0.000, 0.000, 0.000], [0.500, 0.000, 0.636], [0.000, 0.500, 0.364]]}



Entry 12:
{"formula": "AcMg2Si2Ir", "functional": "PBE", "state": "optimized geometry", "e_form_raw_ev_per_atom": -0.2577, "spacegroup": "No. 139", "e_tot_ev_per_fu": -28.55, "lattice": [[4.326, 0.000, 0.000], [0.000, 4.326, 0.000], [-2.163, -2.163, 7.969]], "species": ["Ac", "Mg", "Mg", "Si", "Si", "Ir"], "frac_coords": [[0.500, 0.500, 0.000], [0.250, 0.750, 0.500], [0.750, 0.250, 0.500], [0.855, 0.855, 0.709], [0.145, 0.145, 0.291], [0.000, 0.000, 0.000]]}



Entry 13:
{"formula": "AcMgSi2Ir2", "functional": "PBE", "state": "optimized geometry", "e_form_raw_ev_per_atom": -0.7435, "spacegroup": "No. 164", "e_tot_ev_per_fu": -38.73, "lattice": [[-2.287, -3.471, -1.047], [2.453, 1.918, -2.945], [5.576, -4.242, 1.883]], "species": ["Ac", "Mg", "Si", "Si", "Ir", "Ir"], "frac_coords": [[0.000, 0.000, 0.000], [0.000, 0.000, 0.500], [0.667, 0.333, 0.323], [0.333, 0.667, 0.677], [0.667, 0.333, 0.684], [0.333, 0.667, 0.316]]}



Entry 14:
{"formula": "Ac2MgSi4Ir3", "functional": "PBE", "state": "optimized geometry", "e_form_raw_ev_per_atom": -0.7755, "spacegroup": "No. 115", "e_tot_ev_per_fu": -65.84, "lattice": [[-0.069, 1.668, 4.009], [-4.319, -0.443, 0.110], [1.071, -9.460, 3.955]], "species": ["Ac", "Ac", "Mg", "Si", "Si", "Si", "Si", "Ir", "Ir", "Ir"], "frac_coords": [[0.500, 0.000, 0.240], [0.000, 0.500, 0.760], [0.500, 0.500, 0.500], [0.500, 0.500, 0.000], [0.000, 0.000, 0.000], [0.500, 0.000, 0.642], [0.000, 0.500, 0.358], [0.000, 0.000, 0.500], [0.500, 0.000, 0.883], [0.000, 0.500, 0.117]]}



Entry 15:
{"formula": "Ac2MgSi3Ir4", "functional": "PBE", "state": "optimized geometry", "e_form_raw_ev_per_atom": -0.8444, "spacegroup": "No. 115", "e_tot_ev_per_fu": -69.97, "lattice": [[4.239, 0.000, 0.000], [0.000, 4.239, 0.000], [0.000, 0.000, 10.611]], "species": ["Ac", "Ac", "Mg", "Si", "Si", "Si", "Ir", "Ir", "Ir", "Ir"], "frac_coords": [[0.500, 0.000, 0.250], [0.000, 0.500, 0.750], [0.500, 0.500, 0.500], [0.000, 0.000, 0.500], [0.500, 0.000, 0.880], [0.000, 0.500, 0.120], [0.500, 0.500, 0.000], [0.000, 0.000, 0.000], [0.500, 0.000, 0.643], [0.000, 0.500, 0.357]]}



Entry 16:
{"formula": "AcSmMgIr", "functional": "PBE", "state": "optimized geometry", "spacegroup": "No. 216", "e_form_ev_per_atom": -0.2363, "e_tot_ev_per_fu": -20.23, "lattice": [[-3.417, 1.748, -3.664], [-4.860, -2.108, -0.316], [-4.229, 2.852, 1.462]], "species": ["Ac", "Ir", "Mg", "Sm"], "frac_coords": [[0.750, 0.750, 0.750], [0.500, 0.500, 0.500], [0.000, 0.000, 0.000], [0.250, 0.250, 0.250]]}



Entry 17:
{"formula": "Ac2MgSn4Ir3", "functional": "PBE", "state": "optimized geometry", "spacegroup": "No. 115", "e_form_ev_per_atom": -0.5628, "e_tot_ev_per_fu": -58.03, "lattice": [[4.604, 0.000, 0.000], [0.000, 4.604, 0.000], [0.000, 0.000, 11.285]], "species": ["Ac", "Ac", "Mg", "Sn", "Sn", "Sn", "Sn", "Ir", "Ir", "Ir"], "frac_coords": [[0.500, 0.000, 0.242], [0.000, 0.500, 0.758], [0.500, 0.500, 0.500], [0.500, 0.500, 0.000], [0.000, 0.000, 0.000], [0.500, 0.000, 0.639], [0.000, 0.500, 0.361], [0.000, 0.000, 0.500], [0.500, 0.000, 0.874], [0.000, 0.500, 0.126]]}



Entry 18:
{"formula": "AcMg2SnIr2", "functional": "PBE", "state": "optimized geometry", "spacegroup": "No. 123", "e_form_ev_per_atom": 0.0723, "e_tot_ev_per_fu": -28.59, "lattice": [[4.973, 0.000, 0.000], [0.000, 4.973, 0.000], [0.000, 0.000, 6.362]], "species": ["Ac", "Mg", "Mg", "Sn", "Ir", "Ir"], "frac_coords": [[0.000, 0.000, 0.500], [0.500, 0.500, 0.773], [0.500, 0.500, 0.227], [0.000, 0.000, 0.000], [0.500, 0.000, 0.000], [0.000, 0.500, 0.000]]}



Entry 19:
{"formula": "Ac2MgSn3Ir4", "functional": "PBE", "state": "optimized geometry", "spacegroup": "No. 115", "e_form_ev_per_atom": -0.5736, "e_tot_ev_per_fu": -63.00, "lattice": [[4.445, 0.000, 0.000], [0.000, 4.445, 0.000], [0.000, 0.000, 11.467]], "species": ["Ac", "Ac", "Mg", "Sn", "Sn", "Sn", "Ir", "Ir", "Ir", "Ir"], "frac_coords": [[0.500, 0.000, 0.250], [0.000, 0.500, 0.750], [0.500, 0.500, 0.500], [0.000, 0.000, 0.500], [0.500, 0.000, 0.873], [0.000, 0.500, 0.127], [0.500, 0.500, 0.000], [0.000, 0.000, 0.000], [0.500, 0.000, 0.639], [0.000, 0.500, 0.361]]}



Entry 20:
{"formula": "SrAcMgIr", "functional": "PBE", "state": "optimized geometry", "spacegroup": "No. 216", "e_form_ev_per_atom": -0.0811, "e_tot_ev_per_fu": -16.57, "lattice": [[-0.507, -5.277, -1.083], [4.362, -2.927, -1.299], [1.927, -3.673, 3.475]], "species": ["Sr", "Ac", "Ir", "Mg"], "frac_coords": [[0.250, 0.250, 0.250], [0.750, 0.750, 0.750], [0.000, 0.000, 0.000], [0.500, 0.500, 0.500]]}



Entry 21:
{"formula": "AcTbMgIr", "functional": "PBE", "state": "optimized geometry", "spacegroup": "No. 216", "e_form_ev_per_atom": -0.2549, "e_tot_ev_per_fu": -20.21, "lattice": [[-1.582, -3.029, -4.013], [3.075, -3.922, -1.713], [-1.389, -5.009, 0.867]], "species": ["Ac", "Ir", "Tb", "Mg"], "frac_coords": [[0.250, 0.250, 0.250], [0.000, 0.000, 0.000], [0.750, 0.750, 0.750], [0.500, 0.500, 0.500]]}



Entry 22:
{"formula": "AcMgTlIr", "functional": "PBE", "state": "optimized geometry", "spacegroup": "No. 216", "e_form_ev_per_atom": -0.1193, "e_tot_ev_per_fu": -17.41, "lattice": [[-0.958, 2.373, 4.533], [-1.480, -2.792, 4.137], [3.257, -0.637, 4.011]], "species": ["Mg", "Ac", "Ir", "Tl"], "frac_coords": [[0.250, 0.250, 0.250], [0.750, 0.750, 0.750], [0.000, 0.000, 0.000], [0.500, 0.500, 0.500]]}



Entry 23:
{"formula": "Ac2MgTlIr", "functional": "PBE", "state": "optimized geometry", "spacegroup": "No. 11", "e_form_ev_per_atom": -0.4692, "e_tot_ev_per_fu": -23.38, "lattice": [[4.415, 0.000, 0.000], [0.000, 8.528, 0.303], [0.000, -3.269, 7.972]], "species": ["Ac", "Ac", "Ac", "Ac", "Mg", "Mg", "Tl", "Tl", "Ir", "Ir"], "frac_coords": [[0.750, 0.901, 0.667], [0.750, 0.724, 0.022], [0.250, 0.099, 0.333], [0.250, 0.276, 0.978], [0.250, 0.568, 0.655], [0.750, 0.432, 0.345], [0.250, 0.675, 0.328], [0.750, 0.325, 0.672], [0.250, 0.881, 0.895], [0.750, 0.119, 0.105]]}



Entry 24:
{"formula": "AcYMgIr", "functional": "PBE", "state": "optimized geometry", "spacegroup": "No. 216", "e_form_ev_per_atom": -0.2589, "e_tot_ev_per_fu": -22.06, "lattice": [[5.268, 0.000, 0.000], [2.634, 4.562, 0.000], [2.634, 1.521, 4.301]], "species": ["Y", "Ac", "Ir", "Mg"], "frac_coords": [[0.750, 0.750, 0.750], [0.250, 0.250, 0.250], [0.000, 0.000, 0.000], [0.500, 0.500, 0.500]]}



Entry 25:
{"formula": "Ac2MgZn3Ir4", "functional": "PBE", "state": "optimized geometry", "spacegroup": "No. 115", "e_form_ev_per_atom": -0.4130, "e_tot_ev_per_fu": -53.21, "lattice": [[4.235, 0.000, 0.000], [0.000, 4.235, 0.000], [0.000, 0.000, 11.178]], "species": ["Ac", "Ac", "Mg", "Zn", "Zn", "Zn", "Ir", "Ir", "Ir", "Ir"], "frac_coords": [[0.500, 0.000, 0.240], [0.000, 0.500, 0.760], [0.500, 0.500, 0.500], [0.000, 0.000, 0.500], [0.500, 0.000, 0.872], [0.000, 0.500, 0.128], [0.500, 0.500, 0.000], [0.000, 0.000, 0.000], [0.500, 0.000, 0.644], [0.000, 0.500, 0.356]]}